No. 1
The following is a PBE calculation of a relaxed Ni3Bi crystal, from OQMD.

Calculated volume: 13.99 Å³/atom
Raw total energy: -5.053 eV per atom

Cell lengths 3.8246, 3.8246, 3.8246 Å; angles 90.00, 90.00, 90.00 degrees
Closest atoms and distances in Å follow each position.
Fractional coordinates of all 4 atoms:
Ni 0.5000 0.0000 0.5000  4 Bi 2.70, 8 Ni 2.70
Bi 0.0000 0.0000 0.0000  12 Ni 2.70
Ni 0.5000 0.5000 0.0000  4 Bi 2.70, 8 Ni 2.70
Ni 0.0000 0.5000 0.5000  4 Bi 2.70, 8 Ni 2.70

No. 2
The following is a PBE calculation of a relaxed BaHfB4 crystal, from OQMD.

Calculated volume: 14.35 Å³/atom
Polymorph energy (0 for the lowest one): 0.4424 eV per atom
Raw total energy: -6.331 eV per atom

Cell lengths 5.4875, 5.4875, 5.4875 Å; angles 147.02, 97.61, 91.64 degrees
Closest atoms and distances in Å follow each position.
Fractional coordinates of all 6 atoms:
B 0.5196 0.2396 0.2799  2 B 1.62
B 0.9597 0.2396 0.7201  2 B 1.62
Hf 0.5000 0.5000 0.0000  12 B 2.84-2.88, 2 Hf 3.11
B 0.0403 0.7604 0.2799  2 B 1.62
B 0.4804 0.7604 0.7201  2 B 1.62
Ba 0.0000 0.0000 0.0000  12 B 2.73-2.99

No. 3
The following is a PBE calculation of a relaxed AgTe3I crystal, from OQMD.

Calculated volume: 35.23 Å³/atom
Raw total energy: -2.845 eV per atom

Cell lengths 16.4336, 4.8364, 8.8656 Å; angles 90.00, 90.00, 90.00 degrees
Closest atoms and distances in Å follow each position.
Fractional coordinates of all 20 atoms:
Te 0.3738 0.3585 0.3610  2 Te 2.77-2.82, 1 Ag 2.80
I 0.8265 0.0000 0.5000  2 Ag 2.93
Te 0.0000 0.6310 0.2840  2 Te 2.77
Te 0.5000 0.3690 0.7840  2 Te 2.77
Te 0.3738 0.6415 0.6390  2 Te 2.77-2.82, 1 Ag 2.80
Te 0.1262 0.6415 0.8610  2 Te 2.77-2.82, 1 Ag 2.80
Te 0.8738 0.3585 0.1390  2 Te 2.77-2.82, 1 Ag 2.80
I 0.6735 0.0000 0.0000  2 Ag 2.93
Ag 0.7500 0.7019 0.2500  2 Te 2.80, 2 I 2.93
I 0.1735 0.0000 0.5000  2 Ag 2.93
Ag 0.2500 0.7019 0.2500  2 Te 2.80, 2 I 2.93
Te 0.8738 0.6415 0.8610  2 Te 2.77-2.82, 1 Ag 2.80
Te 0.0000 0.3690 0.7160  2 Te 2.77
Te 0.6262 0.3585 0.3610  2 Te 2.77-2.82, 1 Ag 2.80
I 0.3265 0.0000 0.0000  2 Ag 2.93
Ag 0.2500 0.2981 0.7500  2 Te 2.80, 2 I 2.93
Te 0.6262 0.6415 0.6390  2 Te 2.77-2.82, 1 Ag 2.80
Te 0.5000 0.6310 0.2160  2 Te 2.77
Ag 0.7500 0.2981 0.7500  2 Te 2.80, 2 I 2.93
Te 0.1262 0.3585 0.1390  2 Te 2.77-2.82, 1 Ag 2.80

No. 4
The following is a PBE calculation of a relaxed SnGe2Ir crystal, from OQMD.

Calculated volume: 18.42 Å³/atom
Raw total energy: -5.279 eV per atom

Cell lengths 4.7058, 4.7058, 4.7058 Å; angles 60.00, 60.00, 60.00 degrees
Closest atoms and distances in Å follow each position.
Fractional coordinates of all 4 atoms:
Ir 0.5000 0.5000 0.5000  4 Ge 2.88, 4 Sn 2.88
Ge 0.0000 0.0000 0.0000  4 Ge 2.88, 4 Sn 2.88
Ge 0.2500 0.2500 0.2500  4 Ge 2.88, 4 Ir 2.88
Sn 0.7500 0.7500 0.7500  4 Ge 2.88, 4 Ir 2.88

No. 5
The following is a PBE calculation of a relaxed Sc2AlGaPt4 crystal, from OQMD.

Calculated volume: 16.42 Å³/atom
Polymorph energy (0 for the lowest one): 0.0534 eV per atom
Raw total energy: -6.502 eV per atom

Cell lengths 4.5021, 4.5021, 6.4827 Å; angles 90.00, 90.00, 90.00 degrees
Closest atoms and distances in Å follow each position.
Fractional coordinates of all 8 atoms:
Pt 0.0000 0.5000 0.2555  2 Al 2.75, 4 Sc 2.75-2.79, 2 Ga 2.79
Al 0.0000 0.0000 0.5000  8 Pt 2.75
Sc 0.5000 0.5000 0.5000  8 Pt 2.75
Ga 0.5000 0.5000 0.0000  8 Pt 2.79
Pt 0.0000 0.5000 0.7445  2 Al 2.75, 4 Sc 2.75-2.79, 2 Ga 2.79
Pt 0.5000 0.0000 0.2555  2 Al 2.75, 4 Sc 2.75-2.79, 2 Ga 2.79
Sc 0.0000 0.0000 0.0000  8 Pt 2.79
Pt 0.5000 0.0000 0.7445  2 Al 2.75, 4 Sc 2.75-2.79, 2 Ga 2.79

No. 6
The following is a PBE calculation of a relaxed HfThSn crystal, from OQMD.

Calculated volume: 29.94 Å³/atom
Raw total energy: -6.980 eV per atom

Cell lengths 5.0270, 5.0270, 5.0270 Å; angles 60.00, 60.00, 60.00 degrees
Closest atoms and distances in Å follow each position.
Fractional coordinates of all 3 atoms:
Sn 0.0000 0.0000 0.0000  4 Hf 3.08, 4 Th 3.08
Th 0.7500 0.7500 0.7500  4 Sn 3.08
Hf 0.2500 0.2500 0.2500  4 Sn 3.08

raw total energy of number 3 (AgTe3I)? -2.845 eV per atom

calculated volume of number 1 (Ni3Bi)? 13.99 Å³/atom

Which formula does entry 6 have? HfThSn

Copy entry 3 word for word.
The following is a PBE calculation of a relaxed AgTe3I crystal, from OQMD.

Calculated volume: 35.23 Å³/atom
Raw total energy: -2.845 eV per atom

Cell lengths 16.4336, 4.8364, 8.8656 Å; angles 90.00, 90.00, 90.00 degrees
Closest atoms and distances in Å follow each position.
Fractional coordinates of all 20 atoms:
Te 0.3738 0.3585 0.3610  2 Te 2.77-2.82, 1 Ag 2.80
I 0.8265 0.0000 0.5000  2 Ag 2.93
Te 0.0000 0.6310 0.2840  2 Te 2.77
Te 0.5000 0.3690 0.7840  2 Te 2.77
Te 0.3738 0.6415 0.6390  2 Te 2.77-2.82, 1 Ag 2.80
Te 0.1262 0.6415 0.8610  2 Te 2.77-2.82, 1 Ag 2.80
Te 0.8738 0.3585 0.1390  2 Te 2.77-2.82, 1 Ag 2.80
I 0.6735 0.0000 0.0000  2 Ag 2.93
Ag 0.7500 0.7019 0.2500  2 Te 2.80, 2 I 2.93
I 0.1735 0.0000 0.5000  2 Ag 2.93
Ag 0.2500 0.7019 0.2500  2 Te 2.80, 2 I 2.93
Te 0.8738 0.6415 0.8610  2 Te 2.77-2.82, 1 Ag 2.80
Te 0.0000 0.3690 0.7160  2 Te 2.77
Te 0.6262 0.3585 0.3610  2 Te 2.77-2.82, 1 Ag 2.80
I 0.3265 0.0000 0.0000  2 Ag 2.93
Ag 0.2500 0.2981 0.7500  2 Te 2.80, 2 I 2.93
Te 0.6262 0.6415 0.6390  2 Te 2.77-2.82, 1 Ag 2.80
Te 0.5000 0.6310 0.2160  2 Te 2.77
Ag 0.7500 0.2981 0.7500  2 Te 2.80, 2 I 2.93
Te 0.1262 0.3585 0.1390  2 Te 2.77-2.82, 1 Ag 2.80